1.
Material: TbEr3Cu
Method: DFT, GGA-PBE
State: relaxed

Cell lengths 5.3214, 5.3214, 5.3214 Å; angles 90.00, 90.00, 90.00 degrees
Positions (direct):
Er 0.0000 0.0000 0.5000
Tb 0.5000 0.5000 0.5000
Cu 0.0000 0.0000 0.0000
Er 0.0000 0.5000 0.0000
Er 0.5000 0.0000 0.0000

Calculated values
- formation energy (kJ/mol of atoms) = 10.6
- theoretical density (Mg/m³) = 7.981
- total magnetization (Bohr magnetons per cell) = 0.00



2.
Material: RbCrCl3
Method: DFT, GGA-PBE
State: relaxed

Cell lengths 4.6013, 4.6013, 8.0908 Å; angles 90.00, 90.00, 90.00 degrees
Site moments in Bohr magnetons follow the coordinates.
Positions (direct):
Cl 0.5000 0.0000 0.4239  -0.04
Cr 0.5000 0.5000 0.5186  3.66
Cl 0.0000 0.0000 0.7665  0.00
Rb 0.0000 0.0000 0.1308  0.00
Cl 0.0000 0.5000 0.4239  -0.04

Calculated values
- E_form (uncorrected) (eV per atom) = -0.9648
- theoretical density (Mg/m³) = 2.364
- total magnetization (Bohr magnetons per cell) = 3.96



3.
Material: Cs2AcInBr6
Method: DFT, GGA-PBE
State: relaxed

Cell lengths 8.4464, 8.8979, 12.1279 Å; angles 90.00, 88.99, 90.00 degrees
Positions (direct):
Br 0.8976 0.5337 0.2402
Br 0.7098 0.3098 0.9514
Cs 0.0241 0.9314 0.2527
Ac 0.0000 0.5000 0.0000
Br 0.8139 0.7834 0.9451
In 0.5000 0.0000 0.0000
Br 0.3976 0.9663 0.7402
Br 0.7902 0.8098 0.5486
Br 0.2098 0.1902 0.4514
Cs 0.4759 0.4314 0.2473
Cs 0.5241 0.5686 0.7527
Ac 0.5000 0.0000 0.5000
Br 0.6024 0.0337 0.2598
Cs 0.9759 0.0686 0.7473
Br 0.1861 0.2166 0.0549
Br 0.2902 0.6902 0.0486
Br 0.6861 0.2834 0.5549
Br 0.1024 0.4663 0.7598
Br 0.3139 0.7166 0.4451
In 0.0000 0.5000 0.5000

Calculated values
- E_form (uncorrected) (eV per atom) = -1.6917
- theoretical density (Mg/m³) = 3.961
- total magnetization (Bohr magnetons per cell) = 0.00



4.
Material: Ti2GeTe
Method: DFT, GGA-PBE
State: relaxed

Cell lengths 5.9608, 5.9608, 7.4123 Å; angles 66.29, 66.29, 90.00 degrees
Positions (direct):
Ti 0.3750 0.4116 0.7500
Ti 0.1616 0.6250 0.2500
Ge 0.2500 0.7500 0.5000
Ti 0.5884 0.1250 0.2500
Te 0.7500 0.2500 0.5000
Te 0.0000 0.0000 0.0000
Ti 0.8750 0.8384 0.7500
Ge 0.5000 0.5000 0.0000

Calculated values
- energy relative to the lowest polymorph listed for this composition (meV/atom) = 675.1
- E_form (uncorrected) (eV per atom) = 0.1046
- theoretical density (Mg/m³) = 4.537
- total magnetization (Bohr magnetons per cell) = 0.00



5.
Material: TbHo4Sn
Method: DFT, GGA-PBE
State: relaxed

Cell lengths 5.3447, 10.9876, 6.6724 Å; angles 90.00, 113.61, 90.00 degrees
Positions (direct):
Ho 0.9987 0.0292 0.9974
Ho 0.4781 0.7826 0.9561
Ho 0.5219 0.2826 0.0439
Ho 0.6778 0.5665 0.3556
Ho 0.1787 0.7811 0.3574
Ho 0.0013 0.5292 0.0026
Ho 0.3222 0.0665 0.6444
Sn 0.8485 0.7778 0.6970
Ho 0.8213 0.2811 0.6426
Tb 0.6800 0.9961 0.3599
Sn 0.1515 0.2778 0.3030
Tb 0.3200 0.4961 0.6401

Calculated values
- formation energy (kJ/mol of atoms) = -20.3
- theoretical density (Mg/m³) = 8.670
- total magnetization (Bohr magnetons per cell) = 0.00



6.
Material: Al2TlGaPt
Method: DFT, GGA-PBE
State: relaxed

Cell lengths 4.9181, 4.7933, 4.9181 Å; angles 90.00, 90.00, 90.00 degrees
Positions (direct):
Ga 0.0000 0.0000 0.0000
Tl 0.5000 0.5000 0.5000
Pt 0.0000 0.5000 0.0000
Al 0.0000 0.0000 0.5000
Al 0.5000 0.0000 0.0000

Calculated values
- formation energy (kJ/mol of atoms) = 33.8
- theoretical density (Mg/m³) = 7.493
- total magnetization (Bohr magnetons per cell) = 0.00